# VTe2P

A geometry-optimized VTe2P structure (PBE, Alexandria).

Values from the calculation:
final energy: -38.228 eV/cell
V: 242.33 Å³ per cell
formation energy (no corrections): 0.4245 eV per atom

abc: 8.161 8.161 8.161
angles: 137.82 137.82 61.18
Fractional positions:
V  0.000  0.000  0.000
V  0.750  0.250  0.500
Te  0.121  0.625  0.996
Te  0.375  0.371  0.496
Te  0.629  0.125  0.004
Te  0.875  0.879  0.504
P  0.250  0.750  0.500
P  0.500  0.500  0.000